Entry 1:
The following is a PBE-GGA calculation of a relaxed structure of B2C, from the Alexandria database.

Unit cell a=5.739 b=5.739 c=5.537 alpha=92.75 beta=92.75 gamma=27.25
Fractional coordinates of all 12 atoms:
B: 0.000 0.000 0.000
B: 0.012 0.012 0.659
B: 0.140 0.140 0.861
B: 0.274 0.274 0.733
B: 0.411 0.411 0.567
B: 0.681 0.681 0.416
B: 0.738 0.738 0.950
B: 0.873 0.873 0.773
C: 0.146 0.146 0.539
C: 0.363 0.363 0.278
C: 0.461 0.461 0.110
C: 0.784 0.784 0.233

size of the total moment: 0.000 μB per cell
space-group type: Cm, No. 8
mass density: 2.7 g cm⁻³
crystal system: monoclinic
E_form: 0.245 eV/atom
distance to the lowest polymorph of the same formula: 60 meV/atom

---

Entry 2:
The following is a PBE-GGA calculation of a relaxed structure of TbZrAlZn, from the Alexandria database.

Unit cell a=4.915 b=4.915 c=4.915 alpha=60.00 beta=60.00 gamma=60.00
Fractional coordinates of all 4 atoms:
Tb: 0.000 0.000 0.000
Zr: 0.500 0.500 0.500
Al: 0.250 0.250 0.250
Zn: 0.750 0.750 0.750

size of the total moment: 0.000 μB per cell
space-group type: F-43m, No. 216
mass density: 6.8 g cm⁻³
crystal system: cubic
E_form: -0.304 eV/atom

---

Entry 3:
The following is a PBE-GGA calculation of a relaxed structure of Mn2InPIr, from the Alexandria database.

Unit cell a=4.836 b=4.836 c=5.049 alpha=90.00 beta=90.00 gamma=90.00
Fractional coordinates of all 5 atoms:
Mn: 0.000 0.500 0.000
Mn: 0.500 0.000 0.000
In: 0.000 0.000 0.500
P: 0.500 0.500 0.500
Ir: 0.000 0.000 0.000

size of the total moment: 8.513 μB per cell
space-group type: P4/mmm, No. 123
mass density: 6.3 g cm⁻³
crystal system: tetragonal
E_form: 0.852 eV/atom

---

Entry 4:
The following is a PBE-GGA calculation of a relaxed structure of KErF4, from the Alexandria database.

Unit cell a=6.092 b=3.585 c=15.533 alpha=90.00 beta=90.00 gamma=90.00
Fractional coordinates of all 24 atoms:
K: 0.224 0.250 0.201
K: 0.276 0.750 0.701
K: 0.724 0.250 0.299
K: 0.776 0.750 0.799
Er: 0.250 0.250 0.942
Er: 0.250 0.750 0.442
Er: 0.750 0.250 0.558
Er: 0.750 0.750 0.058
F: 0.004 0.250 0.056
F: 0.096 0.250 0.814
F: 0.109 0.250 0.371
F: 0.133 0.250 0.536
F: 0.367 0.750 0.036
F: 0.391 0.750 0.871
F: 0.404 0.750 0.314
F: 0.496 0.750 0.556
F: 0.504 0.250 0.444
F: 0.596 0.250 0.686
F: 0.609 0.250 0.129
F: 0.633 0.250 0.964
F: 0.867 0.750 0.464
F: 0.891 0.750 0.629
F: 0.904 0.750 0.186
F: 0.996 0.750 0.944

size of the total moment: 0.146 μB per cell
space-group type: Pnma, No. 62
ΔE_f (raw): -3.723 eV/atom
mass density: 5.5 g cm⁻³
crystal system: orthorhombic

---

Entry 5:
The following is a PBE-GGA calculation of a relaxed structure of Tm3Zn7Cu2, from the Alexandria database.

Unit cell a=9.045 b=9.045 c=9.045 alpha=34.20 beta=34.20 gamma=34.20
Fractional coordinates of all 12 atoms:
Tm: 0.000 0.000 0.000
Tm: 0.141 0.141 0.141
Tm: 0.859 0.859 0.859
Zn: 0.076 0.583 0.583
Zn: 0.417 0.417 0.924
Zn: 0.417 0.924 0.417
Zn: 0.500 0.500 0.500
Zn: 0.583 0.076 0.583
Zn: 0.583 0.583 0.076
Zn: 0.924 0.417 0.417
Cu: 0.334 0.334 0.334
Cu: 0.666 0.666 0.666

size of the total moment: 0.000 μB per cell
space-group type: R-3m, No. 166
mass density: 8.7 g cm⁻³
crystal system: trigonal
E_form: -0.293 eV/atom

---

Entry 6:
The following is a PBE-GGA calculation of a relaxed structure of Ta2Ir, from the Alexandria database.

Unit cell a=2.873 b=4.605 c=7.704 alpha=90.00 beta=92.12 gamma=90.00
Fractional coordinates of all 6 atoms:
Ta: 0.020 0.250 0.285
Ta: 0.302 0.250 0.925
Ta: 0.698 0.750 0.075
Ta: 0.980 0.750 0.715
Ir: 0.460 0.750 0.396
Ir: 0.540 0.250 0.604

size of the total moment: 0.000 μB per cell
space-group type: P2_1/m, No. 11
mass density: 18.1 g cm⁻³
crystal system: monoclinic
E_form: -0.365 eV/atom

---

Entry 7:
The following is a PBE-GGA calculation of a relaxed structure of TbMgCd, from the Alexandria database.

Unit cell a=6.748 b=6.748 c=6.748 alpha=150.25 beta=150.25 gamma=42.57
Fractional coordinates of all 3 atoms:
Tb: 0.000 0.000 0.000
Mg: 0.688 0.688 0.000
Cd: 0.330 0.330 0.000

size of the total moment: 0.156 μB per cell
space-group type: I4mm, No. 107
mass density: 6.5 g cm⁻³
crystal system: tetragonal
E_form: -0.174 eV/atom

---

Entry 8:
The following is a PBE-GGA calculation of a relaxed structure of LiAcRhPb3, from the Alexandria database.

Unit cell a=7.118 b=7.118 c=7.121 alpha=90.00 beta=90.00 gamma=109.24
Fractional coordinates of all 12 atoms:
Li: 0.028 0.972 0.750
Li: 0.972 0.028 0.250
Ac: 0.265 0.735 0.250
Ac: 0.735 0.265 0.750
Rh: 0.488 0.512 0.750
Rh: 0.512 0.488 0.250
Pb: 0.249 0.249 0.000
Pb: 0.249 0.249 0.500
Pb: 0.253 0.747 0.750
Pb: 0.747 0.253 0.250
Pb: 0.751 0.751 0.000
Pb: 0.751 0.751 0.500

size of the total moment: 0.000 μB per cell
space-group type: Cmcm, No. 63
mass density: 9.3 g cm⁻³
crystal system: orthorhombic
E_form: -0.168 eV/atom

---

Entry 9:
The following is a PBE-GGA calculation of a relaxed structure of Pm4I3N2, from the Alexandria database.

Unit cell a=9.096 b=9.096 c=6.862 alpha=92.64 beta=92.64 gamma=66.67
Fractional coordinates of all 18 atoms:
Pm: 0.058 0.647 0.562
Pm: 0.232 0.389 0.073
Pm: 0.353 0.942 0.938
Pm: 0.389 0.232 0.573
Pm: 0.611 0.768 0.427
Pm: 0.647 0.058 0.062
Pm: 0.768 0.611 0.927
Pm: 0.942 0.353 0.438
I: 0.031 0.778 0.034
I: 0.222 0.969 0.466
I: 0.433 0.567 0.750
I: 0.567 0.433 0.250
I: 0.778 0.031 0.534
I: 0.969 0.222 0.966
N: 0.160 0.404 0.400
N: 0.404 0.160 0.900
N: 0.596 0.840 0.100
N: 0.840 0.596 0.600

size of the total moment: 0.005 μB per cell
space-group type: C2/c, No. 15
ΔE_f (raw): -1.225 eV/atom
mass density: 6.3 g cm⁻³
crystal system: monoclinic

---

Entry 10:
The following is a PBE-GGA calculation of a relaxed structure of BC2, from the Alexandria database.

Unit cell a=3.632 b=4.368 c=5.275 alpha=101.43 beta=91.90 gamma=111.29
Fractional coordinates of all 12 atoms:
B: 0.011 0.186 0.087
B: 0.314 0.875 0.209
B: 0.686 0.125 0.791
B: 0.989 0.814 0.913
C: 0.028 0.835 0.469
C: 0.285 0.805 0.682
C: 0.357 0.481 0.626
C: 0.393 0.522 0.130
C: 0.607 0.478 0.870
C: 0.643 0.519 0.374
C: 0.715 0.195 0.318
C: 0.972 0.165 0.531

size of the total moment: 0.000 μB per cell
space-group type: P-1, No. 2
mass density: 3.0 g cm⁻³
crystal system: triclinic
E_form: 0.338 eV/atom
distance to the lowest polymorph of the same formula: 98 meV/atom

---

Entry 11:
The following is a PBE-GGA calculation of a relaxed structure of Tb8Ho3Er2, from the Alexandria database.

Unit cell a=7.606 b=5.597 c=10.706 alpha=90.00 beta=110.79 gamma=90.00
Fractional coordinates of all 13 atoms:
Tb: 0.102 0.000 0.285
Tb: 0.169 0.500 0.838
Tb: 0.317 0.000 0.715
Tb: 0.367 0.500 0.234
Tb: 0.633 0.500 0.766
Tb: 0.683 0.000 0.285
Tb: 0.831 0.500 0.162
Tb: 0.898 0.000 0.715
Ho: 0.214 0.500 0.500
Ho: 0.500 0.000 0.500
Ho: 0.786 0.500 0.500
Er: 0.259 0.000 0.018
Er: 0.741 0.000 0.982

size of the total moment: 0.000 μB per cell
space-group type: P2/m, No. 10
mass density: 8.2 g cm⁻³
crystal system: monoclinic
E_form: 0.228 eV/atom

---

Entry 12:
The following is a PBE-GGA calculation of a relaxed structure of Tm6Ag5Rh, from the Alexandria database.

Unit cell a=7.935 b=7.935 c=7.126 alpha=90.00 beta=90.00 gamma=143.24
Fractional coordinates of all 12 atoms:
Tm: 0.000 0.000 0.237
Tm: 0.000 0.000 0.763
Tm: 0.340 0.660 0.244
Tm: 0.340 0.660 0.756
Tm: 0.660 0.340 0.244
Tm: 0.660 0.340 0.756
Ag: 0.167 0.833 0.500
Ag: 0.172 0.828 0.000
Ag: 0.500 0.500 0.500
Ag: 0.828 0.172 0.000
Ag: 0.833 0.167 0.500
Rh: 0.500 0.500 0.000

size of the total moment: 0.000 μB per cell
space-group type: Cmmm, No. 65
mass density: 10.2 g cm⁻³
crystal system: orthorhombic
E_form: -0.443 eV/atom

---

Entry 13:
The following is a PBE-GGA calculation of a relaxed structure of BaCaMg10, from the Alexandria database.

Unit cell a=5.100 b=6.124 c=10.755 alpha=90.00 beta=90.00 gamma=90.00
Fractional coordinates of all 12 atoms:
Ba: 0.000 0.000 0.000
Ca: 0.000 0.500 0.500
Mg: 0.000 0.000 0.342
Mg: 0.000 0.000 0.658
Mg: 0.000 0.500 0.176
Mg: 0.000 0.500 0.824
Mg: 0.500 0.000 0.500
Mg: 0.500 0.251 0.255
Mg: 0.500 0.251 0.745
Mg: 0.500 0.500 0.000
Mg: 0.500 0.749 0.255
Mg: 0.500 0.749 0.745

size of the total moment: 0.000 μB per cell
space-group type: Pmmm, No. 47
mass density: 2.1 g cm⁻³
crystal system: orthorhombic
E_form: -0.038 eV/atom

---

Entry 14:
The following is a PBE-GGA calculation of a relaxed structure of Ce3B2Cl3O6, from the Alexandria database.

Unit cell a=9.306 b=9.306 c=5.855 alpha=90.00 beta=90.00 gamma=120.00
Fractional coordinates of all 28 atoms:
Ce: 0.040 0.657 0.250
Ce: 0.343 0.384 0.250
Ce: 0.384 0.040 0.750
Ce: 0.616 0.960 0.250
Ce: 0.657 0.616 0.750
Ce: 0.960 0.343 0.750
B: 0.333 0.667 0.513
B: 0.333 0.667 0.987
B: 0.667 0.333 0.013
B: 0.667 0.333 0.487
Cl: 0.034 0.795 0.750
Cl: 0.205 0.239 0.750
Cl: 0.239 0.034 0.250
Cl: 0.761 0.966 0.750
Cl: 0.795 0.761 0.250
Cl: 0.966 0.205 0.250
O: 0.169 0.543 0.000
O: 0.169 0.543 0.500
O: 0.374 0.831 0.000
O: 0.374 0.831 0.500
O: 0.457 0.626 0.000
O: 0.457 0.626 0.500
O: 0.543 0.374 0.000
O: 0.543 0.374 0.500
O: 0.626 0.169 0.000
O: 0.626 0.169 0.500
O: 0.831 0.457 0.000
O: 0.831 0.457 0.500

size of the total moment: 6.001 μB per cell
space-group type: P6_3/m, No. 176
ΔE_f (raw): -2.750 eV/atom
mass density: 4.9 g cm⁻³
crystal system: hexagonal

---

Entry 15:
The following is a PBE-GGA calculation of a relaxed structure of AlRh2Cl, from the Alexandria database.

Unit cell a=6.045 b=6.045 c=6.045 alpha=151.78 beta=142.48 gamma=47.60
Fractional coordinates of all 4 atoms:
Al: 0.000 0.000 0.000
Rh: 0.193 0.693 0.500
Rh: 0.422 0.422 0.000
Cl: 0.735 0.235 0.500

size of the total moment: 0.000 μB per cell
space-group type: Imm2, No. 44
ΔE_f (raw): -0.039 eV/atom
mass density: 7.0 g cm⁻³
crystal system: orthorhombic
distance to the lowest polymorph of the same formula: 391 meV/atom

---

Entry 16:
The following is a PBE-GGA calculation of a relaxed structure of SrErInCl6, from the Alexandria database.

Unit cell a=7.329 b=7.329 c=13.385 alpha=90.00 beta=90.00 gamma=120.00
Fractional coordinates of all 18 atoms:
Sr: 0.333 0.667 0.250
Sr: 0.667 0.333 0.750
Er: 0.333 0.667 0.750
Er: 0.667 0.333 0.250
In: 0.000 0.000 0.000
In: 0.000 0.000 0.500
Cl: 0.029 0.381 0.638
Cl: 0.029 0.647 0.862
Cl: 0.353 0.381 0.862
Cl: 0.353 0.971 0.638
Cl: 0.381 0.029 0.138
Cl: 0.381 0.353 0.362
Cl: 0.619 0.647 0.638
Cl: 0.619 0.971 0.862
Cl: 0.647 0.029 0.362
Cl: 0.647 0.619 0.138
Cl: 0.971 0.353 0.138
Cl: 0.971 0.619 0.362

size of the total moment: 0.000 μB per cell
space-group type: P-31c, No. 163
ΔE_f (raw): -2.036 eV/atom
mass density: 3.1 g cm⁻³
crystal system: trigonal

---

Entry 17:
The following is a PBE-GGA calculation of a relaxed structure of KRbBa2, from the Alexandria database.

Unit cell a=16.702 b=16.702 c=16.702 alpha=15.53 beta=15.53 gamma=15.53
Fractional coordinates of all 4 atoms:
K: 0.000 0.000 0.000
Rb: 0.500 0.500 0.500
Ba: 0.411 0.411 0.411
Ba: 0.589 0.589 0.589

size of the total moment: 0.001 μB per cell
space-group type: R-3m, No. 166
mass density: 2.3 g cm⁻³
crystal system: trigonal
E_form: 0.151 eV/atom
distance to the lowest polymorph of the same formula: 46 meV/atom

---

Entry 18:
The following is a PBE-GGA calculation of a relaxed structure of TbTiAu, from the Alexandria database.

Unit cell a=4.384 b=4.384 c=7.033 alpha=90.00 beta=90.00 gamma=90.00
Fractional coordinates of all 6 atoms:
Tb: 0.250 0.250 0.144
Tb: 0.750 0.750 0.856
Ti: 0.250 0.750 0.500
Ti: 0.750 0.250 0.500
Au: 0.250 0.250 0.733
Au: 0.750 0.750 0.267

size of the total moment: 0.907 μB per cell
space-group type: P4/nmm, No. 129
mass density: 9.9 g cm⁻³
crystal system: tetragonal
E_form: -0.430 eV/atom

---

Entry 19:
The following is a PBE-GGA calculation of a relaxed structure of NaVBiCl6, from the Alexandria database.

Unit cell a=6.753 b=6.753 c=12.435 alpha=90.00 beta=90.00 gamma=120.00
Fractional coordinates of all 18 atoms:
Na: 0.000 0.000 0.000
Na: 0.000 0.000 0.500
V: 0.333 0.667 0.250
V: 0.667 0.333 0.750
Bi: 0.333 0.667 0.750
Bi: 0.667 0.333 0.250
Cl: 0.028 0.371 0.133
Cl: 0.028 0.657 0.367
Cl: 0.343 0.371 0.367
Cl: 0.343 0.972 0.133
Cl: 0.371 0.028 0.633
Cl: 0.371 0.343 0.867
Cl: 0.629 0.657 0.133
Cl: 0.629 0.972 0.367
Cl: 0.657 0.028 0.867
Cl: 0.657 0.629 0.633
Cl: 0.972 0.343 0.633
Cl: 0.972 0.629 0.867

size of the total moment: 6.000 μB per cell
space-group type: P-31c, No. 163
ΔE_f (raw): -1.218 eV/atom
mass density: 3.4 g cm⁻³
crystal system: trigonal

---

Entry 20:
The following is a PBE-GGA calculation of a relaxed structure of KCuIr2, from the Alexandria database.

Unit cell a=2.722 b=2.722 c=9.165 alpha=90.00 beta=90.00 gamma=90.00
Fractional coordinates of all 4 atoms:
K: 0.000 0.000 0.000
Cu: 0.000 0.000 0.500
Ir: 0.500 0.500 0.301
Ir: 0.500 0.500 0.699

size of the total moment: 0.000 μB per cell
space-group type: P4/mmm, No. 123
mass density: 11.9 g cm⁻³
crystal system: tetragonal
E_form: 0.629 eV/atom
distance to the lowest polymorph of the same formula: 208 meV/atom

---

Entry 21:
The following is a PBE-GGA calculation of a relaxed structure of Li2MgTl8, from the Alexandria database.

Unit cell a=5.120 b=5.120 c=11.657 alpha=90.00 beta=90.00 gamma=90.00
Fractional coordinates of all 11 atoms:
Li: 0.000 0.000 0.183
Li: 0.000 0.000 0.817
Mg: 0.000 0.000 0.500
Tl: 0.000 0.500 0.000
Tl: 0.000 0.500 0.354
Tl: 0.000 0.500 0.646
Tl: 0.500 0.000 0.000
Tl: 0.500 0.000 0.354
Tl: 0.500 0.000 0.646
Tl: 0.500 0.500 0.178
Tl: 0.500 0.500 0.822

size of the total moment: 0.000 μB per cell
space-group type: P4/mmm, No. 123
mass density: 9.1 g cm⁻³
crystal system: tetragonal
E_form: -0.036 eV/atom
distance to the lowest polymorph of the same formula: 0 meV/atom